No. 1
# CdAg2Br

Crystalline CdAg2Br at its relaxed geometry (PBE, Alexandria via LeMat-Bulk).

Calculated density in g/cm3: 7.39
Magnetization in μB/cell: 0.000
Energy relative to the lowest polymorph listed for this composition in meV/atom: 331
Uncorrected formation energy in eV/atom: 0.26

```
data_CdAg2Br
_symmetry_space_group_name_H-M 'F -4 3 m'
_symmetry_Int_Tables_number 216
_symmetry_space_group_name_Hall 'F -4 2 3'
_cell_length_a 7.156
_cell_length_b 7.156
_cell_length_c 7.156
_cell_angle_alpha 90.00
_cell_angle_beta 90.00
_cell_angle_gamma 90.00
loop_
_atom_site_label
_atom_site_fract_x
_atom_site_fract_y
_atom_site_fract_z
_atom_site_occupancy
Cd1 0.000 0.000 0.000 1
Ag1 0.000 0.000 0.500 1
Ag2 0.250 0.250 0.250 1
Br1 0.250 0.250 0.750 1
```

=====

No. 2
# EuAl2Pb

Crystalline EuAl2Pb at its relaxed geometry (PBE, Alexandria via LeMat-Bulk).

Calculated density in g/cm3: 7.16
Magnetization in μB/cell: 6.971
ΔE_f in meV/atom: -190

```
data_EuAl2Pb
_symmetry_space_group_name_H-M 'P 4/m m m'
_symmetry_Int_Tables_number 123
_symmetry_space_group_name_Hall '-P 4 2'
_cell_length_a 4.560
_cell_length_b 4.560
_cell_length_c 4.606
_cell_angle_alpha 90.00
_cell_angle_beta 90.00
_cell_angle_gamma 90.00
loop_
_atom_site_label
_atom_site_fract_x
_atom_site_fract_y
_atom_site_fract_z
_atom_site_occupancy
Eu1 0.000 0.000 0.000 1
Al1 0.000 0.500 0.500 1
Pb1 0.500 0.500 0.000 1
```

=====

calculated density of number 1 (CdAg2Br)? 7.39 g/cm3

=====

Among the records above, which one has the highest magnetization? EuAl2Pb